Entry 1:
DFT (meta-GGA SCAN) results for a crystal of MoSBrCl2 relaxed with PBEsol.

Unit cell a=4.799 b=5.087 c=5.087 alpha=90.00 beta=90.00 gamma=90.00
Sites, in units of the cell vectors:
Mo 0.500 0.500 0.500
S 0.500 0.000 0.000
Br 0.000 0.000 0.000
Cl 0.000 0.000 0.500
Cl 0.000 0.500 0.000

Output
* formation energy from raw total energies: 1043 meV per atom
* space-group type: P4/mmm

---

Entry 2:
DFT (meta-GGA SCAN) results for a crystal of BaMnBe2 relaxed with PBEsol.

Unit cell a=4.798 b=4.798 c=4.798 alpha=60.00 beta=60.00 gamma=60.00
Sites, in units of the cell vectors:
Be 0.000 0.000 0.000
Be 0.750 0.750 0.750
Mn 0.250 0.250 0.250
Ba 0.500 0.500 0.500

Output
* formation energy: 19.96 kcal/mol of atoms
* excess energy over the best structure of this formula in the dataset: 0.0959 eV/atom
* space-group type: F-43m

---

Entry 3:
DFT (meta-GGA SCAN) results for a crystal of Ru3SeS relaxed with PBEsol.

Unit cell a=4.308 b=4.308 c=4.308 alpha=90.00 beta=90.00 gamma=90.00
Sites, in units of the cell vectors:
Ru 0.000 0.500 0.000
Ru 0.000 0.000 0.500
Ru 0.500 0.000 0.000
S 0.000 0.000 0.000
Se 0.500 0.500 0.500

Output
* formation energy from raw total energies: 785 meV per atom
* space-group type: Pm-3m

---

Entry 4:
DFT (meta-GGA SCAN) results for a crystal of MnZnPdI2 relaxed with PBEsol.

Unit cell a=4.709 b=5.397 c=5.397 alpha=90.00 beta=90.00 gamma=90.00
Sites, in units of the cell vectors:
I 0.000 0.000 0.500
I 0.000 0.500 0.000
Zn 0.000 0.000 0.000
Mn 0.500 0.500 0.500
Pd 0.500 0.000 0.000

Output
* formation energy from raw total energies: 453 meV per atom
* space-group type: P4/mmm

---

Entry 5:
DFT (meta-GGA SCAN) results for a crystal of MgTe2RuI relaxed with PBEsol.

Unit cell a=5.110 b=5.110 c=5.519 alpha=90.00 beta=90.00 gamma=90.00
Sites, in units of the cell vectors:
I 0.000 0.000 0.500
Ru 0.000 0.000 0.000
Mg 0.500 0.500 0.500
Te 0.000 0.500 0.000
Te 0.500 0.000 0.000

Output
* formation energy from raw total energies: 312 meV per atom
* space-group type: P4/mmm

---

Entry 6:
DFT (meta-GGA SCAN) results for a crystal of YZr2Ru relaxed with PBEsol.

Unit cell a=4.001 b=4.001 c=5.780 alpha=110.25 beta=110.25 gamma=90.00
Sites, in units of the cell vectors:
Ru 0.500 0.500 0.000
Y 0.250 0.750 0.500
Zr 0.000 0.000 0.000
Zr 0.750 0.250 0.500

Output
* formation energy: 2.03 kcal/mol of atoms
* excess energy over the best structure of this formula in the dataset: 0.4255 eV/atom
* space-group type: I-4m2

---

Entry 7:
DFT (meta-GGA SCAN) results for a crystal of YSiTe2 relaxed with PBEsol.

Unit cell a=4.452 b=4.452 c=5.792 alpha=112.60 beta=112.60 gamma=90.00
Sites, in units of the cell vectors:
Si 0.000 0.000 0.000
Te 0.750 0.250 0.500
Te 0.250 0.750 0.500
Y 0.500 0.500 0.000

Output
* formation energy from raw total energies: -215 meV per atom
* space-group type: I4/mmm

---

Entry 8:
DFT (meta-GGA SCAN) results for a crystal of La2CrCoBr relaxed with PBEsol.

Unit cell a=4.233 b=5.516 c=5.516 alpha=90.00 beta=90.00 gamma=90.00
Sites, in units of the cell vectors:
Cr 0.500 0.000 0.000
Co 0.000 0.000 0.000
Br 0.500 0.500 0.500
La 0.000 0.000 0.500
La 0.000 0.500 0.000

Output
* formation energy from raw total energies: -281 meV per atom
* space-group type: P4/mmm

---

Entry 9:
DFT (meta-GGA SCAN) results for a crystal of KMn2AsPt relaxed with PBEsol.

Unit cell a=4.744 b=4.744 c=4.837 alpha=90.00 beta=90.00 gamma=90.00
Sites, in units of the cell vectors:
As 0.000 0.000 0.000
Mn 0.000 0.500 0.000
Mn 0.500 0.000 0.000
K 0.500 0.500 0.500
Pt 0.000 0.000 0.500

Output
* formation energy: 1.55 kcal/mol of atoms
* space-group type: P4/mmm

---

Entry 10:
DFT (meta-GGA SCAN) results for a crystal of MnFe2Si relaxed with PBEsol.

Unit cell a=2.838 b=3.805 c=4.536 alpha=114.80 beta=108.23 gamma=90.00
Sites, in units of the cell vectors:
Fe 0.756 0.756 0.512
Fe 0.244 0.244 0.488
Mn 0.000 0.500 0.000
Si 0.500 0.000 0.000

Output
* formation energy from raw total energies: -194 meV per atom
* space-group type: Immm

---

Entry 11:
DFT (meta-GGA SCAN) results for a crystal of MgNi2As relaxed with PBEsol.

Unit cell a=4.197 b=4.197 c=4.197 alpha=60.00 beta=60.00 gamma=60.00
Sites, in units of the cell vectors:
As 0.500 0.500 0.500
Mg 0.250 0.250 0.250
Ni 0.000 0.000 0.000
Ni 0.750 0.750 0.750

Output
* formation energy: -0.20 kcal/mol of atoms
* space-group type: F-43m

---

Entry 12:
DFT (meta-GGA SCAN) results for a crystal of MgIBr2 relaxed with PBEsol.

Unit cell a=5.308 b=5.308 c=5.308 alpha=60.00 beta=60.00 gamma=60.00
Sites, in units of the cell vectors:
I 0.500 0.500 0.500
Mg 0.000 0.000 0.000
Br 0.250 0.250 0.250
Br 0.750 0.750 0.750

Output
* formation energy from raw total energies: -197 meV per atom
* space-group type: Fm-3m

---

Entry 13:
DFT (meta-GGA SCAN) results for a crystal of PmN relaxed with PBEsol.

Unit cell a=3.572 b=3.572 c=3.572 alpha=60.00 beta=60.00 gamma=60.00
Sites, in units of the cell vectors:
Pm 0.000 0.000 0.000
N 0.500 0.500 0.500

Output
* formation energy from raw total energies: -1728 meV per atom
* space-group type: Fm-3m

---

Entry 14:
DFT (meta-GGA SCAN) results for a crystal of MnTl3Mo relaxed with PBEsol.

Unit cell a=5.007 b=5.007 c=5.007 alpha=90.00 beta=90.00 gamma=90.00
Sites, in units of the cell vectors:
Tl 0.000 0.500 0.000
Tl 0.000 0.000 0.500
Tl 0.500 0.000 0.000
Mn 0.000 0.000 0.000
Mo 0.500 0.500 0.500

Output
* formation energy: 21.81 kcal/mol of atoms
* space-group type: Pm-3m

---

Entry 15:
DFT (meta-GGA SCAN) results for a crystal of CePmSi2 relaxed with PBEsol.

Unit cell a=4.681 b=4.681 c=5.542 alpha=91.01 beta=114.44 gamma=119.28
Sites, in units of the cell vectors:
Si 0.991 0.246 0.236
Si 0.009 0.754 0.764
Ce 0.500 0.500 0.000
Pm 0.500 0.000 0.500

Output
* formation energy from raw total energies: -445 meV per atom
* space-group type: C2/m

---

Entry 16:
DFT (meta-GGA SCAN) results for a crystal of TiSi3N relaxed with PBEsol.

Unit cell a=3.962 b=3.962 c=3.962 alpha=90.00 beta=90.00 gamma=90.00
Sites, in units of the cell vectors:
Si 0.000 0.500 0.000
Si 0.000 0.000 0.500
Si 0.500 0.000 0.000
N 0.000 0.000 0.000
Ti 0.500 0.500 0.500

Output
* formation energy from raw total energies: 309 meV per atom
* space-group type: Pm-3m

---

Entry 17:
DFT (meta-GGA SCAN) results for a crystal of Cd2FeHg relaxed with PBEsol.

Unit cell a=4.073 b=4.073 c=5.189 alpha=113.11 beta=113.11 gamma=90.00
Sites, in units of the cell vectors:
Cd 0.750 0.250 0.500
Cd 0.250 0.750 0.500
Fe 0.500 0.500 0.000
Hg 0.000 0.000 0.000

Output
* formation energy: 6.80 kcal/mol of atoms
* space-group type: I4/mmm

---

Entry 18:
DFT (meta-GGA SCAN) results for a crystal of CuWSe2N relaxed with PBEsol.

Unit cell a=3.428 b=4.809 c=4.809 alpha=90.00 beta=90.00 gamma=90.00
Sites, in units of the cell vectors:
Cu 0.000 0.000 0.000
Se 0.000 0.000 0.500
Se 0.000 0.500 0.000
W 0.500 0.500 0.500
N 0.500 0.000 0.000

Output
* formation energy from raw total energies: 1311 meV per atom
* space-group type: P4/mmm

---

Entry 19:
DFT (meta-GGA SCAN) results for a crystal of ZnGeIN2 relaxed with PBEsol.

Unit cell a=3.744 b=3.744 c=6.478 alpha=90.00 beta=90.00 gamma=90.00
Sites, in units of the cell vectors:
I 0.000 0.000 0.500
Ge 0.000 0.000 0.000
Zn 0.500 0.500 0.500
N 0.000 0.500 0.000
N 0.500 0.000 0.000

Output
* formation energy from raw total energies: 1143 meV per atom
* space-group type: P4/mmm

---

Entry 20:
DFT (meta-GGA SCAN) results for a crystal of TaPbAu2 relaxed with PBEsol.

Unit cell a=3.090 b=4.617 c=5.360 alpha=90.00 beta=90.03 gamma=90.00
Sites, in units of the cell vectors:
Au 0.875 0.000 0.959
Au 0.875 0.500 0.267
Pb 0.376 0.000 0.467
Ta 0.374 0.500 0.807

Output
* formation energy: 5.29 kcal/mol of atoms
* space-group type: Pmm2